ZrCuRu2 | PBE-GGA | optimized geometry

Calculated values
crystal system = trigonal
V = 62.0 Å³/cell
N(E_F) = 1.241 states/eV per atom
energy of formation = 26.34 kJ/mol of atoms
magnetic moment = 0.0 μB per formula unit
total DFT energy (no corrections) = -7.526 eV per atom

a b c (Å): 9.1953 9.1953 9.1953
angles (deg): 17.60 17.60 17.60
Fractional positions:
Zr 0.0000 0.0000 0.0000
Cu 0.5000 0.5000 0.5000
Ru 0.2436 0.2436 0.2436
Ru 0.7564 0.7564 0.7564